No. 1
11
Lattice="3.3877 -6.1479 0.0000 3.3877 6.1479 0.0000 0.0000 0.0000 9.6844" Properties=species:S:1:pos:R:3 comment="Pm2Pr7Ho2 (PBE, optimized geometry)" m_tot_mub_per_fu=0.04 de_polymorph_mev_per_atom=160 space_group="Cmmm, No. 65" dos_at_fermi_per_ev_fu=19.83 e_form_ev_per_atom=0.320 e_tot_ev_per_cell=-48.6 pbc="T T T"
Pm 1.6957 0.0000 0.0000
Pm 5.0797 0.0000 0.0000
Pr 0.0000 0.0000 3.1165
Pr 0.0000 0.0000 6.5679
Pr 1.6939 3.0740 1.7855
Pr 1.6939 3.0740 7.8989
Pr 1.6939 -3.0740 1.7855
Pr 1.6939 -3.0740 7.8989
Pr 3.3877 0.0000 4.8422
Ho 3.3877 3.2913 4.8422
Ho 3.3877 -3.2913 4.8422



No. 2
5
Lattice="4.5543 0.0000 0.0000 0.0000 4.5543 0.0000 0.0000 0.0000 4.5543" Properties=species:S:1:pos:R:3 comment="Co3TeMo (PBE, optimized geometry)" m_tot_mub_per_fu=6.87 de_polymorph_mev_per_atom=215 e_form_raw_ev_per_atom=1.518 space_group="Pm-3m, No. 221" dos_at_fermi_per_ev_fu=6.60 e_tot_ev_per_cell=-27.7 pbc="T T T"
Co 0.0000 0.0000 2.2772
Co 0.0000 2.2772 0.0000
Co 2.2772 0.0000 0.0000
Te 0.0000 0.0000 0.0000
Mo 2.2772 2.2772 2.2772



No. 3
3
Lattice="-1.7282 1.7282 5.9024 1.7282 -1.7282 5.9024 1.7282 1.7282 -5.9024" Properties=species:S:1:pos:R:3 comment="PmRhPb (PBE, optimized geometry)" m_tot_mub_per_fu=0.00 de_polymorph_mev_per_atom=99 space_group="I4mm, No. 107" dos_at_fermi_per_ev_fu=1.99 e_form_ev_per_atom=-0.401 e_tot_ev_per_cell=-17.0 pbc="T T T"
Pm 0.0000 0.0000 0.0000
Rh 0.0000 0.0000 4.1647
Pb 0.0000 0.0000 8.4114



No. 4
18
Lattice="-3.6477 4.2859 5.2017 3.6477 -4.2859 5.2017 3.6477 4.2859 -5.2017" Properties=species:S:1:pos:R:3 comment="PuSbBrO6 (PBE, optimized geometry)" m_tot_mub_per_fu=2.00 e_form_raw_ev_per_atom=-1.499 space_group="Imma, No. 74" dos_at_fermi_per_ev_fu=5.61 e_tot_ev_per_cell=-126.7 pbc="T T T"
Pu 0.0000 0.0000 0.0000
Pu 0.0000 4.2859 0.0000
Sb -1.8238 2.1429 2.6009
Sb 1.8238 2.1429 2.6009
Br 3.6477 2.1429 -2.3488
Br 0.0000 2.1429 7.5505
O 3.6477 -2.1429 4.1860
O 1.3846 0.7186 1.2233
O 5.9107 0.7186 1.2233
O 3.6477 2.1429 1.8474
O 1.3846 5.0044 -1.2233
O 2.2630 0.7186 3.9785
O 1.3846 3.5673 1.2233
O 2.2630 -0.7186 6.4250
O 0.0000 2.1429 3.3543
O -2.2630 3.5673 3.9785
O 2.2630 3.5673 3.9785
O 0.0000 6.4288 1.0158



No. 5
4
Lattice="4.5771 -1.3834 0.0000 4.5771 1.3834 0.0000 -0.8418 0.0000 4.7291" Properties=species:S:1:pos:R:3 comment="Tc2OsW (PBE, optimized geometry)" m_tot_mub_per_fu=0.00 de_polymorph_mev_per_atom=23 space_group="Cm, No. 8" dos_at_fermi_per_ev_fu=3.01 e_form_ev_per_atom=0.083 e_tot_ev_per_cell=-44.6 pbc="T T T"
Tc 0.0000 0.0000 0.0000
Tc 6.6540 0.0000 1.1426
Os 4.1194 0.0000 2.2479
W 1.6146 0.0000 3.4741



No. 6
5
Lattice="5.5145 0.0000 0.0000 0.0000 5.5145 0.0000 0.0000 0.0000 5.7053" Properties=species:S:1:pos:R:3 comment="InSbSe2Br (PBE, optimized geometry)" m_tot_mub_per_fu=0.00 de_polymorph_mev_per_atom=290 e_form_raw_ev_per_atom=-0.079 space_group="P4/mmm, No. 123" dos_at_fermi_per_ev_fu=3.12 e_tot_ev_per_cell=-15.9 pbc="T T T"
In 0.0000 0.0000 0.0000
Sb 2.7573 2.7573 2.8527
Se 0.0000 2.7573 2.8527
Se 2.7573 0.0000 2.8527
Br 2.7573 2.7573 0.0000



No. 7
6
Lattice="3.1932 0.0000 0.0000 0.2147 4.0864 0.0000 1.5909 0.0168 8.3062" Properties=species:S:1:pos:R:3 comment="SbH2 (PBE, optimized geometry)" m_tot_mub_per_fu=0.00 de_polymorph_mev_per_atom=0 space_group="P1, No. 1" dos_at_fermi_per_ev_fu=0.09 e_tot_ev_per_cell=-21.5 pbc="T T T"
Sb 0.0000 0.0000 0.0000
Sb 1.6988 2.0600 6.3113
H 1.5605 2.2042 2.2046
H 1.7849 1.9974 2.8927
H 3.0682 0.1360 4.1117
H 3.4693 4.0662 3.3993



No. 8
32
Lattice="-5.7455 6.0701 6.8291 5.7455 -6.0701 6.8291 5.7455 6.0701 -6.8291" Properties=species:S:1:pos:R:3 comment="SrInHg14 (PBE, optimized geometry)" m_tot_mub_per_fu=0.00 space_group="Imma, No. 74" dos_at_fermi_per_ev_fu=4.76 e_form_ev_per_atom=-0.052 e_tot_ev_per_cell=-19.0 pbc="T T T"
Sr 0.0000 3.0350 0.9742
Sr 5.7455 3.0350 5.8549
In 5.7455 0.0000 0.0000
In 0.0000 0.0000 6.8291
Hg 1.6636 1.0507 -1.1488
Hg 9.8273 1.0507 -1.1488
Hg 4.3114 3.0350 -3.1073
Hg 7.1796 3.0350 -3.1073
Hg 4.2052 0.0421 2.6477
Hg 7.2857 0.0421 2.6477
Hg 4.0235 3.0350 -0.0596
Hg 7.4675 3.0350 -0.0596
Hg 4.2052 6.1122 -2.6477
Hg 1.5402 0.0421 4.1815
Hg 1.6636 5.0194 -1.1488
Hg 4.0819 -1.0507 5.6803
Hg 4.2480 3.0350 2.9058
Hg 7.2429 3.0350 2.9058
Hg -1.4975 3.0350 3.9234
Hg 1.4975 3.0350 3.9234
Hg 1.6636 7.1208 1.1488
Hg 4.0819 1.0507 7.9779
Hg 4.2052 6.0280 2.6477
Hg 1.5402 -0.0421 9.4768
Hg -1.7220 3.0350 6.8888
Hg 1.7220 3.0350 6.8888
Hg -1.5402 6.0280 4.1815
Hg 1.5402 6.0280 4.1815
Hg -1.4341 3.0350 9.9364
Hg 1.4341 3.0350 9.9364
Hg -4.0819 5.0194 7.9779
Hg 4.0819 5.0194 7.9779



No. 9
4
Lattice="0.0000 3.1253 3.1253 3.1253 0.0000 3.1253 3.1253 3.1253 0.0000" Properties=species:S:1:pos:R:3 comment="ReMo2Ru (PBE, optimized geometry)" m_tot_mub_per_fu=0.00 de_polymorph_mev_per_atom=129 space_group="F-43m, No. 216" dos_at_fermi_per_ev_fu=5.15 e_form_ev_per_atom=0.240 e_tot_ev_per_cell=-42.4 pbc="T T T"
Re 0.0000 0.0000 0.0000
Mo 3.1253 3.1253 3.1253
Mo 4.6879 4.6879 4.6879
Ru 1.5626 1.5626 1.5626



No. 10
14
Lattice="2.9043 -6.4064 0.0000 2.9043 6.4064 0.0000 0.0000 0.0000 5.8002" Properties=species:S:1:pos:R:3 comment="AcPmNbN4 (PBE, optimized geometry)" m_tot_mub_per_fu=0.00 e_form_raw_ev_per_atom=-0.983 space_group="Cmcm, No. 63" dos_at_fermi_per_ev_fu=5.03 e_tot_ev_per_cell=-118.2 pbc="T T T"
Ac 2.9043 5.0839 4.3502
Ac 2.9043 -5.0839 1.4501
Pm 2.9043 1.4219 4.3502
Pm 2.9043 -1.4219 1.4501
Nb 2.9043 3.0508 1.4501
Nb 2.9043 -3.0508 4.3502
N 1.4521 3.2032 0.0000
N 1.4521 3.2032 2.9001
N 2.9043 5.3002 1.4501
N 2.9043 0.9932 1.4501
N 1.4521 -3.2032 0.0000
N 1.4521 -3.2032 2.9001
N 2.9043 -0.9932 4.3502
N 2.9043 -5.3002 4.3502



No. 11
4
Lattice="0.0000 3.7751 3.7751 3.7751 0.0000 3.7751 3.7751 3.7751 0.0000" Properties=species:S:1:pos:R:3 comment="Ca2BiP (PBE, optimized geometry)" m_tot_mub_per_fu=0.00 space_group="Fm-3m, No. 225" dos_at_fermi_per_ev_fu=3.25 e_form_ev_per_atom=-0.608 e_tot_ev_per_cell=-15.7 pbc="T T T"
Ca 1.8875 1.8875 1.8875
Ca 5.6626 5.6626 5.6626
Bi 0.0000 0.0000 0.0000
P 3.7751 3.7751 3.7751



No. 12
6
Lattice="2.6993 0.0000 0.0000 1.2822 2.3757 0.0000 1.1545 0.8327 11.9784" Properties=species:S:1:pos:R:3 comment="HPdF (PBE, optimized geometry)" m_tot_mub_per_fu=0.32 de_polymorph_mev_per_atom=0 space_group="P-1, No. 2" dos_at_fermi_per_ev_fu=2.36 e_tot_ev_per_cell=-25.8 pbc="T T T"
H 0.2942 0.1779 1.4976
H 4.8418 3.0305 10.4808
Pd 1.8876 1.1977 7.1511
Pd 3.2484 2.0106 4.8273
F 1.6831 1.1453 10.4950
F 3.4530 2.0630 1.4835



No. 13
8
Lattice="9.3271 0.0000 0.0000 0.0000 5.1587 0.0000 -2.6763 0.0000 12.6890" Properties=species:S:1:pos:R:3 comment="Cs4Rb2HgAu (PBE, optimized geometry)" m_tot_mub_per_fu=0.00 space_group="P2/m, No. 10" dos_at_fermi_per_ev_fu=7.37 e_form_ev_per_atom=-0.125 e_tot_ev_per_cell=-9.9 pbc="T T T"
Cs 1.4786 0.0000 2.0526
Cs 0.2125 2.5793 10.4907
Cs 6.4383 2.5793 2.1983
Cs 5.1722 0.0000 10.6364
Rb -1.3382 0.0000 6.3445
Rb 3.3254 2.5793 6.3445
Hg 4.6636 0.0000 0.0000
Au 0.0000 2.5793 0.0000



No. 14
4
Lattice="5.0840 0.0000 0.0000 0.0000 2.5627 6.9340 0.0000 -2.5627 6.9340" Properties=species:S:1:pos:R:3 comment="CsKTlAu (PBE, optimized geometry)" m_tot_mub_per_fu=0.00 space_group="Amm2, No. 38" dos_at_fermi_per_ev_fu=2.35 e_form_ev_per_atom=-0.180 e_tot_ev_per_cell=-8.3 pbc="T T T"
Cs 0.0000 0.0000 0.0000
K 2.5420 0.0000 10.0058
Tl 0.0000 0.0000 4.0214
Au 2.5420 0.0000 5.4036



No. 15
16
Lattice="3.7798 -4.5411 0.0000 3.7798 4.5411 0.0000 -3.6456 0.0000 6.9109" Properties=species:S:1:pos:R:3 comment="TiHgTeO5 (PBE, optimized geometry)" m_tot_mub_per_fu=0.00 e_form_raw_ev_per_atom=-1.464 space_group="C2/c, No. 15" e_tot_ev_per_cell=-95.7 pbc="T T T"
Ti 0.0000 0.0000 0.0000
Ti -1.8228 0.0000 3.4554
Hg 1.0456 1.6457 5.1831
Hg 2.8684 -1.6457 1.7277
Te 2.8684 1.7934 1.7277
Te 1.0456 -1.7934 5.1831
O 2.8684 4.4224 1.7277
O 1.6306 2.5657 3.3134
O 1.7961 0.3991 0.9284
O 4.1063 2.5657 0.1420
O -0.0267 -0.3991 4.3838
O 3.9407 0.3991 2.5270
O -0.1922 -2.5657 6.7688
O 2.1180 -0.3991 5.9825
O 2.2835 -2.5657 3.5975
O 1.0456 -4.4224 5.1831



No. 16
9
Lattice="4.9560 0.0000 0.0000 -2.4780 4.2920 0.0000 0.0000 0.0000 6.2116" Properties=species:S:1:pos:R:3 comment="CsLiH6Pt (PBE, optimized geometry)" m_tot_mub_per_fu=0.00 space_group="P312, No. 149" dos_at_fermi_per_ev_fu=0.00 e_tot_ev_per_cell=-32.2 pbc="T T T"
Cs 0.0000 0.0000 0.0000
Li 0.0000 2.8614 3.1058
H 1.8191 0.2603 4.0590
H 1.1350 1.4452 2.1526
H 3.1370 0.2603 2.1526
H 1.7939 2.5865 4.0590
H 3.8211 1.4452 4.0590
H 3.1621 2.5865 2.1526
Pt 2.4780 1.4307 3.1058



No. 17
18
Lattice="-4.2115 4.2115 5.4584 4.2115 -4.2115 5.4584 4.2115 4.2115 -5.4584" Properties=species:S:1:pos:R:3 comment="PrTh2PtRh5 (PBE, optimized geometry)" m_tot_mub_per_fu=0.00 space_group="I4/mcm, No. 140" dos_at_fermi_per_ev_fu=6.73 e_form_ev_per_atom=-0.411 e_tot_ev_per_cell=-132.2 pbc="T T T"
Pr 0.0000 0.0000 2.7292
Pr 0.0000 0.0000 8.1876
Th 5.3787 1.1672 0.0000
Th 1.1672 3.0443 0.0000
Th 3.0443 1.1672 5.4584
Th -1.1672 3.0443 5.4584
Pt 4.2115 0.0000 2.7292
Pt 0.0000 4.2115 2.7292
Rh 0.0000 0.0000 0.0000
Rh 2.6494 1.5621 -1.4343
Rh 2.6494 -1.5621 4.0241
Rh 2.6494 1.5621 1.4343
Rh 2.6494 -1.5621 6.8926
Rh 0.0000 0.0000 5.4584
Rh 1.5621 5.7736 -1.4343
Rh 1.5621 2.6494 4.0241
Rh 1.5621 5.7736 1.4343
Rh 1.5621 2.6494 6.8926



No. 18
5
Lattice="4.8902 0.0000 0.0000 0.0000 4.8902 0.0000 0.0000 0.0000 4.3301" Properties=species:S:1:pos:R:3 comment="CaBeRhBr2 (PBE, optimized geometry)" m_tot_mub_per_fu=0.00 e_form_raw_ev_per_atom=-0.254 space_group="P4/mmm, No. 123" dos_at_fermi_per_ev_fu=2.04 e_tot_ev_per_cell=-17.7 pbc="T T T"
Ca 0.0000 0.0000 0.0000
Be 2.4451 2.4451 2.1651
Rh 2.4451 2.4451 0.0000
Br 0.0000 2.4451 2.1651
Br 2.4451 0.0000 2.1651



No. 19
4
Lattice="1.7282 0.9978 12.3862 -1.7282 0.9978 12.3862 0.0000 -1.9955 12.3862" Properties=species:S:1:pos:R:3 comment="LuTh2In (PBE, optimized geometry)" m_tot_mub_per_fu=0.00 de_polymorph_mev_per_atom=369 space_group="R-3m, No. 166" dos_at_fermi_per_ev_fu=5.80 e_form_ev_per_atom=0.192 e_tot_ev_per_cell=-21.3 pbc="T T T"
Lu 0.0000 0.0000 0.0000
Th 0.0000 0.0000 15.2783
Th 0.0000 0.0000 21.8802
In 0.0000 0.0000 18.5792



No. 20
5
Lattice="5.1003 0.0000 0.0000 0.0000 5.1003 0.0000 0.0000 0.0000 5.1003" Properties=species:S:1:pos:R:3 comment="BaMgTa3 (PBE, optimized geometry)" m_tot_mub_per_fu=0.00 de_polymorph_mev_per_atom=766 space_group="Pm-3m, No. 221" dos_at_fermi_per_ev_fu=4.32 e_form_ev_per_atom=2.735 e_tot_ev_per_cell=-25.4 pbc="T T T"
Ba 0.0000 0.0000 0.0000
Mg 2.5502 2.5502 2.5502
Ta 0.0000 0.0000 2.5502
Ta 0.0000 2.5502 0.0000
Ta 2.5502 0.0000 0.0000



No. 21
4
Lattice="0.0000 3.5148 3.5148 3.5148 0.0000 3.5148 3.5148 3.5148 0.0000" Properties=species:S:1:pos:R:3 comment="PmTmCoAu (PBE, optimized geometry)" m_tot_mub_per_fu=0.58 space_group="F-43m, No. 216" dos_at_fermi_per_ev_fu=3.18 e_form_ev_per_atom=-0.398 e_tot_ev_per_cell=-21.2 pbc="T T T"
Pm 0.0000 0.0000 0.0000
Tm 3.5148 3.5148 3.5148
Co 1.7574 1.7574 1.7574
Au 5.2721 5.2721 5.2721



No. 22
5
Lattice="4.7204 0.0000 0.0000 0.0000 4.7204 0.0000 0.0000 0.0000 4.7204" Properties=species:S:1:pos:R:3 comment="Se3ClF (PBE, optimized geometry)" m_tot_mub_per_fu=0.00 de_polymorph_mev_per_atom=0 e_form_raw_ev_per_atom=0.679 space_group="Pm-3m, No. 221" dos_at_fermi_per_ev_fu=6.60 e_tot_ev_per_cell=-10.8 pbc="T T T"
Se 0.0000 0.0000 2.3602
Se 0.0000 2.3602 0.0000
Se 2.3602 0.0000 0.0000
Cl 2.3602 2.3602 2.3602
F 0.0000 0.0000 0.0000



No. 23
10
Lattice="4.1307 0.0000 0.0000 0.0000 4.1307 0.0000 0.0000 0.0000 14.3089" Properties=species:S:1:pos:R:3 comment="PmThSe2O (PBE, optimized geometry)" m_tot_mub_per_fu=0.00 e_form_raw_ev_per_atom=-2.290 space_group="P4/nmm, No. 129" dos_at_fermi_per_ev_fu=1.37 e_tot_ev_per_cell=-71.1 pbc="T T T"
Pm 1.0327 1.0327 1.1234
Pm 3.0980 3.0980 13.1854
Th 1.0327 1.0327 8.7524
Th 3.0980 3.0980 5.5565
Se 1.0327 1.0327 5.5780
Se 1.0327 1.0327 11.5229
Se 3.0980 3.0980 2.7860
Se 3.0980 3.0980 8.7309
O 1.0327 3.0980 0.0000
O 3.0980 1.0327 0.0000



No. 24
12
Lattice="0.0000 5.3113 9.0993 4.7854 0.0000 9.0993 4.7854 5.3113 0.0000" Properties=species:S:1:pos:R:3 comment="Ba2NaPb3 (PBE, optimized geometry)" m_tot_mub_per_fu=0.00 de_polymorph_mev_per_atom=21 space_group="Fmmm, No. 69" dos_at_fermi_per_ev_fu=3.63 e_form_ev_per_atom=-0.390 e_tot_ev_per_cell=-37.3 pbc="T T T"
Ba 7.2729 5.3113 9.0993
Ba 2.3927 2.6557 4.5497
Ba 7.1780 7.9670 13.6490
Ba 2.2978 5.3113 9.0993
Na 4.7854 5.3113 6.0927
Na 4.7854 5.3113 12.1060
Pb 4.7854 2.6549 7.5914
Pb 4.7854 5.3113 3.0527
Pb 4.7854 2.6549 10.6072
Pb 4.7854 7.9678 7.5914
Pb 4.7854 5.3113 15.1460
Pb 4.7854 7.9678 10.6072